ZrInRh4 (PBE, relaxed); uncorrected energy = -7.0035 eV per atom; N(E_F) = 6.20 states/eV/cell; crystal system = orthorhombic
1.0
3.003 0.000 0.000
0.000 4.569 0.000
0.000 0.000 7.649
Zr In Rh
1 1 4
Cartesian
0.000 0.000 0.000
1.502 2.284 3.824
0.000 2.284 1.528
0.000 2.284 6.120
1.502 0.000 2.193
1.502 0.000 5.455